{
  "formula": "AsIr2F4",
  "functional": "PBE-GGA",
  "state": "optimized geometry",
  "lattice": [[4.834, 0.000, 0.000], [0.000, 4.834, 0.000], [2.417, 2.417, 5.365]],
  "species": ["Ir", "Ir", "As", "F", "F", "F", "F"],
  "fractional_positions": [[0.607, 0.607, 0.786], [0.393, 0.393, 0.214], [0.000, 0.000, 0.000], [0.813, 0.813, 0.374], [0.000, 0.500, 0.000], [0.500, 0.000, 0.000], [0.187, 0.187, 0.626]],
  "crystal_system": "tetragonal",
  "dos_at_fermi_per_ev_cell": 2.3,
  "raw_formation_energy_ev_per_fu": -0.484,
  "space_group": "I4/mmm, No. 139"
}

=====

{
  "formula": "AsIr2F",
  "functional": "PBE-GGA",
  "state": "optimized geometry",
  "lattice": [[-1.229, 2.603, 3.089], [-4.057, 1.128, 0.322], [-2.352, -1.466, 3.186]],
  "species": ["Ir", "F", "As", "Ir"],
  "fractional_positions": [[0.250, 0.250, 0.250], [0.000, 0.000, 0.000], [0.500, 0.500, 0.500], [0.750, 0.750, 0.750]],
  "crystal_system": "cubic",
  "dos_at_fermi_per_ev_cell": 3.0,
  "raw_formation_energy_ev_per_fu": -0.113,
  "space_group": "Fm-3m, No. 225",
  "de_polymorph_ev_per_atom": 0.000
}

=====

{
  "formula": "AsIr3F",
  "functional": "PBE-GGA",
  "state": "optimized geometry",
  "lattice": [[-2.185, 4.046, -0.121], [-0.896, -0.349, 4.498], [3.948, 2.160, 0.954]],
  "species": ["Ir", "As", "Ir", "F", "Ir"],
  "fractional_positions": [[0.000, 0.500, 0.000], [0.000, 0.000, 0.000], [0.000, 0.000, 0.500], [0.500, 0.500, 0.500], [0.500, 0.000, 0.000]],
  "crystal_system": "cubic",
  "dos_at_fermi_per_ev_cell": 8.9,
  "raw_formation_energy_ev_per_fu": 6.482,
  "space_group": "Pm-3m, No. 221",
  "de_polymorph_ev_per_atom": 0.000
}

=====

{
  "formula": "AsIrF3",
  "functional": "PBE-GGA",
  "state": "optimized geometry",
  "lattice": [[-4.003, 0.510, -1.358], [-0.388, -4.218, -0.437], [-1.398, -0.287, 4.012]],
  "species": ["F", "As", "F", "F", "Ir"],
  "fractional_positions": [[0.500, 0.000, 0.000], [0.500, 0.500, 0.500], [0.000, 0.500, 0.000], [0.000, 0.000, 0.500], [0.000, 0.000, 0.000]],
  "crystal_system": "cubic",
  "dos_at_fermi_per_ev_cell": 7.1,
  "raw_formation_energy_ev_per_fu": -0.865,
  "space_group": "Pm-3m, No. 221",
  "de_polymorph_ev_per_atom": 0.000
}

=====

{
  "formula": "AsIrF2",
  "functional": "PBE-GGA",
  "state": "optimized geometry",
  "lattice": [[2.956, 0.406, 3.008], [-0.320, 3.089, 2.881], [-0.929, -0.945, 4.024]],
  "species": ["Ir", "F", "F", "As"],
  "fractional_positions": [[0.500, 0.500, 0.500], [0.750, 0.750, 0.750], [0.250, 0.250, 0.250], [0.000, 0.000, 0.000]],
  "crystal_system": "cubic",
  "dos_at_fermi_per_ev_cell": 4.6,
  "raw_formation_energy_ev_per_fu": 0.849,
  "space_group": "Fm-3m, No. 225",
  "de_polymorph_ev_per_atom": 0.794
}

=====

{
  "formula": "AsIrF",
  "functional": "PBE-GGA",
  "state": "optimized geometry",
  "lattice": [[5.461, 0.000, 0.000], [0.000, 4.893, 0.226], [0.000, -2.086, 6.900]],
  "species": ["Ir", "Ir", "Ir", "F", "Ir", "As", "F", "As", "F", "As", "F", "As"],
  "fractional_positions": [[0.013, 0.828, 0.033], [0.513, 0.172, 0.967], [0.988, 0.301, 0.599], [0.422, 0.277, 0.265], [0.488, 0.699, 0.401], [0.583, 0.715, 0.068], [0.383, 0.473, 0.622], [0.115, 0.904, 0.360], [0.922, 0.723, 0.735], [0.615, 0.096, 0.640], [0.883, 0.527, 0.378], [0.083, 0.285, 0.932]],
  "crystal_system": "monoclinic",
  "dos_at_fermi_per_ev_cell": 1.7,
  "raw_formation_energy_ev_per_fu": -2.136,
  "space_group": "P2_1, No. 4"
}